(1)
# UAlIr

Crystalline UAlIr at its relaxed geometry (PBE, the Open Quantum Materials Database).

Lattice parameters (Å, degrees): 4.576 4.576 4.576 60.00 60.00 60.00
Fractional coordinates of all 3 atoms:
Ir1 0.750 0.750 0.750
U1 0.000 0.000 0.000
Al1 0.250 0.250 0.250

Calculated values
**Calculated density**: 11.21 g cm⁻³
**Raw total energy**: -7.4695 eV per atom

=====

(2)
# UAl5Ir

Crystalline UAl5Ir at its relaxed geometry (PBE, the Open Quantum Materials Database).

Lattice parameters (Å, degrees): 4.295 4.295 6.844 90.00 90.00 90.00
Last column: magnetic moment on the atom in μB.
Fractional coordinates of all 7 atoms:
Al1 0.500 0.000 0.300  0.00
Al2 0.500 0.500 0.000  0.00
Al3 0.500 0.000 0.700  0.00
Al4 0.000 0.500 0.700  -0.01
U1 0.000 0.000 0.000  0.87
Al5 0.000 0.500 0.300  -0.01
Ir1 0.000 0.000 0.500  -0.05

Calculated values
**Calculated density**: 7.43 g cm⁻³
**Raw total energy**: -6.0294 eV per atom

=====

(3)
# Al2Ir2W3

Crystalline Al2Ir2W3 at its relaxed geometry (PBE, the Open Quantum Materials Database).

Lattice parameters (Å, degrees): 6.846 6.846 6.846 37.25 37.25 37.25
Fractional coordinates of all 7 atoms:
Ir1 0.055 0.055 0.055
Al1 0.193 0.193 0.193
Al2 0.770 0.770 0.770
W1 0.337 0.337 0.337
W2 0.626 0.626 0.626
W3 0.913 0.913 0.913
Ir2 0.482 0.482 0.482

Calculated values
**Calculated density**: 15.60 g cm⁻³
**Raw total energy**: -9.4335 eV per atom